Entry 1:
Entry from Alexandria via LeMat-Bulk: a relaxed structure of Ca2SnOsO8 (GGA-PBE).

size of the total moment	0.00	μB per cell
E_form (uncorrected)	-1.716	eV/atom
final energy	-79.50	eV per cell

abc: 5.0542 6.6169 5.0659
angles: 90.00 93.28 90.00
Element x y z (fractional)
Ca (0.0000, 0.2495, 0.0000)
Ca (0.0000, 0.7505, 0.0000)
Sn (0.5000, 0.5000, 0.5000)
Os (0.5000, 0.0000, 0.5000)
O (0.2231, 0.5000, 0.2227)
O (0.2338, 0.0000, 0.2338)
O (0.3250, 0.2108, 0.6741)
O (0.3250, 0.7892, 0.6741)
O (0.6750, 0.2108, 0.3259)
O (0.6750, 0.7892, 0.3259)
O (0.7662, 0.0000, 0.7662)
O (0.7769, 0.5000, 0.7773)

Entry 2:
Entry from Alexandria via LeMat-Bulk: a relaxed structure of Ac12LaSm5 (GGA-PBE).

size of the total moment	0.00	μB per cell
DFT formation energy	0.031	eV/atom
final energy	-77.26	eV per cell

abc: 6.7688 6.7688 18.9745
angles: 93.42 93.42 119.96
Element x y z (fractional)
Ac (0.0551, 0.3900, 0.1635)
Ac (0.1129, 0.1129, 0.3384)
Ac (0.2204, 0.5536, 0.6614)
Ac (0.2798, 0.2798, 0.8365)
Ac (0.3900, 0.0551, 0.1635)
Ac (0.4464, 0.7796, 0.3386)
Ac (0.5536, 0.2204, 0.6614)
Ac (0.6100, 0.9449, 0.8365)
Ac (0.7202, 0.7202, 0.1635)
Ac (0.7796, 0.4464, 0.3386)
Ac (0.8871, 0.8871, 0.6616)
Ac (0.9449, 0.6100, 0.8365)
La (0.0000, 0.0000, 0.0000)
Sm (0.1663, 0.8337, 0.5000)
Sm (0.3334, 0.6666, 0.0000)
Sm (0.5000, 0.5000, 0.5000)
Sm (0.6666, 0.3334, 0.0000)
Sm (0.8337, 0.1663, 0.5000)

Entry 3:
Entry from Alexandria via LeMat-Bulk: a relaxed structure of CaPm4Pr3Se8 (GGA-PBE).

size of the total moment	0.00	μB per cell
E_form (uncorrected)	-1.849	eV/atom
final energy	-92.81	eV per cell

abc: 8.4439 8.4439 8.4439
angles: 60.08 60.08 60.08
Element x y z (fractional)
Ca (0.0000, 0.0000, 0.0000)
Pm (0.0000, 0.0000, 0.5000)
Pm (0.0000, 0.5000, 0.0000)
Pm (0.5000, 0.0000, 0.0000)
Pm (0.5000, 0.5000, 0.5000)
Pr (0.0000, 0.5000, 0.5000)
Pr (0.5000, 0.0000, 0.5000)
Pr (0.5000, 0.5000, 0.0000)
Se (0.2437, 0.7524, 0.7524)
Se (0.2480, 0.2480, 0.2480)
Se (0.2476, 0.2476, 0.7563)
Se (0.2476, 0.7563, 0.2476)
Se (0.7524, 0.2437, 0.7524)
Se (0.7524, 0.7524, 0.2437)
Se (0.7520, 0.7520, 0.7520)
Se (0.7563, 0.2476, 0.2476)

Entry 4:
Entry from Alexandria via LeMat-Bulk: a relaxed structure of SrYb2O4 (GGA-PBE).

size of the total moment	8.12	μB per cell
E_form (uncorrected)	-2.782	eV/atom
final energy	-176.15	eV per cell

abc: 10.1012 3.4108 11.9700
angles: 90.00 90.00 90.00
Element x y z (fractional)
Sr (0.2459, 0.2500, 0.1526)
Sr (0.2541, 0.7500, 0.6526)
Sr (0.7459, 0.2500, 0.3474)
Sr (0.7541, 0.7500, 0.8474)
Yb (0.0738, 0.2500, 0.3881)
Yb (0.0797, 0.2500, 0.8920)
Yb (0.4203, 0.7500, 0.3920)
Yb (0.4262, 0.7500, 0.8881)
Yb (0.5738, 0.2500, 0.1119)
Yb (0.5797, 0.2500, 0.6080)
Yb (0.9203, 0.7500, 0.1080)
Yb (0.9262, 0.7500, 0.6119)
O (0.0155, 0.7500, 0.7843)
O (0.0786, 0.2500, 0.5777)
O (0.1242, 0.7500, 0.0215)
O (0.2113, 0.7500, 0.3249)
O (0.2887, 0.2500, 0.8249)
O (0.3758, 0.2500, 0.5215)
O (0.4214, 0.7500, 0.0777)
O (0.4845, 0.2500, 0.2843)
O (0.5155, 0.7500, 0.7157)
O (0.5786, 0.2500, 0.9223)
O (0.6242, 0.7500, 0.4785)
O (0.7113, 0.7500, 0.1751)
O (0.7887, 0.2500, 0.6751)
O (0.8758, 0.2500, 0.9785)
O (0.9214, 0.7500, 0.4223)
O (0.9845, 0.2500, 0.2157)

Entry 5:
Entry from Alexandria via LeMat-Bulk: a relaxed structure of CuHg2Mo (GGA-PBE).

offset from the most stable computed form	0.0984	eV/atom
size of the total moment	0.12	μB per cell
DFT formation energy	0.503	eV/atom
final energy	-13.52	eV per cell

abc: 5.2233 5.2233 2.7875
angles: 90.00 90.00 110.05
Element x y z (fractional)
Cu (0.0000, 0.0000, 0.0000)
Hg (0.0000, 0.5000, 0.5000)
Hg (0.5000, 0.0000, 0.5000)
Mo (0.5000, 0.5000, 0.0000)

Entry 6:
Entry from Alexandria via LeMat-Bulk: a relaxed structure of K2ScBr (GGA-PBE).

offset from the most stable computed form	0.3005	eV/atom
size of the total moment	1.91	μB per cell
E_form (uncorrected)	-0.063	eV/atom
final energy	-10.45	eV per cell

abc: 6.5794 6.5794 3.8880
angles: 90.00 90.00 116.20
Element x y z (fractional)
K (0.0000, 0.5000, 0.0000)
K (0.5000, 0.0000, 0.0000)
Sc (0.0000, 0.0000, 0.5000)
Br (0.5000, 0.5000, 0.5000)